[1]
A relaxed structure of AcMnC. Source: Alexandria via LeMat-Bulk, functional GGA-PBE.

POSCAR file:
```
AcMnC
1.0
-0.161 -3.796 -0.058
5.969 -0.273 1.287
-2.061 -0.057 9.543
Mn Ac C
4 4 4
direct
0.750 0.110 0.963
0.250 0.610 0.537
0.250 0.890 0.037
0.750 0.390 0.463
0.250 0.065 0.672
0.750 0.935 0.328
0.750 0.565 0.828
0.250 0.435 0.172
0.250 0.333 0.446
0.750 0.833 0.054
0.250 0.167 0.946
0.750 0.667 0.554
```

Calculated values
**D(E_F)**: 0.647 states/eV/atom
**Space group**: Pnma, No. 62
**ΔE_f**: -0.0253 eV/atom
**Relative energy among the computed polymorphs**: 0.0 meV per atom

[2]
A relaxed structure of CsRbPbI4. Source: Alexandria via LeMat-Bulk, functional GGA-PBE.

POSCAR file:
```
CsRbPbI4
1.0
6.345 0.000 0.000
0.000 6.345 0.000
-3.173 -3.173 9.553
Rb Pb I Cs
1 1 4 1
direct
0.363 0.363 0.726
0.001 0.001 0.002
0.497 0.997 0.993
0.834 0.834 0.668
0.997 0.497 0.993
0.171 0.171 0.342
0.638 0.638 0.276
```

Calculated values
**D(E_F)**: 0.000 states/eV/atom
**Formation energy from raw total energies**: -1125 meV/atom
**Space group**: I4mm, No. 107

[3]
A relaxed structure of ZnSb2Ru. Source: Alexandria via LeMat-Bulk, functional GGA-PBE.

POSCAR file:
```
ZnSb2Ru
1.0
9.030 -0.122 -0.072
8.467 3.140 -0.072
8.467 1.461 2.781
Ru Sb Zn
1 2 1
direct
0.752 0.752 0.752
0.243 0.243 0.243
0.017 0.017 0.017
0.488 0.488 0.488
```

Calculated values
**D(E_F)**: 0.585 states/eV/atom
**Formation energy from raw total energies**: 200 meV/atom
**Space group**: R3m, No. 160

[4]
A relaxed structure of YZrIrOs. Source: Alexandria via LeMat-Bulk, functional GGA-PBE.

POSCAR file:
```
YZrIrOs
1.0
-0.905 4.419 1.477
-1.765 3.200 -3.029
-4.488 1.477 0.456
Ir Y Os Zr
1 1 1 1
direct
0.750 0.750 0.750
0.500 0.500 0.500
0.250 0.250 0.250
0.000 0.000 0.000
```

Calculated values
**D(E_F)**: 0.311 states/eV/atom
**Space group**: F-43m, No. 216
**ΔE_f**: -0.5306 eV/atom